! GGA+U Sr2TlWO5, optimized geometry; values from VASP
! SG ... Immm (71)
! E ... -57.7 eV per formula unit
&SYSTEM
  ibrav = 0, nat = 9, ntyp = 4
/
ATOMIC_SPECIES
O 16.00 O.upf
Tl 204.38 Tl.upf
Sr 87.62 Sr.upf
W 183.84 W.upf
CELL_PARAMETERS angstrom
4.0954 0.0000 0.0000
0.0000 6.3793 0.0000
-2.0477 -3.1897 5.6881
ATOMIC_POSITIONS crystal
O 0.0000 0.0000 0.0000
Tl 0.0000 0.5000 0.0000
Sr 0.7754 0.7754 0.5508
Sr 0.2246 0.2246 0.4492
O 0.6284 0.9124 0.2568
O 0.3716 0.6555 0.7432
O 0.6284 0.3445 0.2568
O 0.3716 0.0876 0.7432
W 0.5000 0.0000 0.0000